1:
The following is a meta-GGA SCAN calculation of a PBEsol-optimized structure of RuPtW, from Alexandria.

Cell: 2.7466 2.7466 6.7310 Å, 90.00 90.00 120.00°
Atoms (fractional coordinates):
Pt 0.0000 0.0000 0.0018
Ru 0.3333 0.6667 0.6570
W 0.6667 0.3333 0.3411

Computed properties:
Density ... 18.1 g/cm³
SG ... No. 156

---

2:
The following is a meta-GGA SCAN calculation of a PBEsol-optimized structure of RuPtW, from Alexandria.

Cell: 2.7512 2.7512 6.1145 Å, 103.00 103.00 90.00°
Atoms (fractional coordinates):
Ru 0.3268 0.3268 0.6535
Pt 0.0013 0.0013 0.0027
W 0.6719 0.6719 0.3438

Computed properties:
Density ... 18.2 g/cm³
SG ... No. 107

---

3:
The following is a meta-GGA SCAN calculation of a PBEsol-optimized structure of RuPtW, from Alexandria.

Cell: 2.7178 3.8787 4.7708 Å, 113.99 106.55 90.00°
Atoms (fractional coordinates):
Ru 0.3300 0.3300 0.6600
Pt 0.9992 0.9992 0.9985
W 0.6708 0.6708 0.3415

Computed properties:
Density ... 18.3 g/cm³
SG ... No. 44

---

Out of the structures above, which one is the most stable? Solution: 3.